1.
PtRhBr2 | Alexandria | PBE | relaxed; crystal system = tetragonal; polymorph energy (0 for the lowest one) = 405 meV per atom; formation energy (no corrections) = 0.37 eV per atom
1.0
-0.1484 2.9921 1.1473
-2.6005 0.5587 -1.7934
-4.7920 -2.5924 6.1408
Rh Br Pt
1 2 1
direct
0.5000 0.5000 0.7234 Rh
0.0000 0.0000 0.9160 Br
0.5000 0.5000 0.3248 Br
0.0000 0.0000 0.5358 Pt

---

2.
NdHoCd4 | Alexandria | PBE | relaxed; crystal system = cubic; polymorph energy (0 for the lowest one) = 57 meV per atom; energy of formation = -0.269 eV/atom
1.0
5.9506 0.0000 0.0000
2.9753 5.1534 0.0000
2.9753 1.7178 4.8586
Nd Ho Cd
1 1 4
direct
0.2500 0.2500 0.2500 Nd
0.0000 0.0000 0.0000 Ho
0.6250 0.6250 0.1249 Cd
0.6250 0.1249 0.6250 Cd
0.6250 0.6250 0.6250 Cd
0.1249 0.6250 0.6250 Cd

---

3.
Cr2AgOs2 | Alexandria | PBE | relaxed; crystal system = tetragonal; polymorph energy (0 for the lowest one) = 16 meV per atom; energy of formation = 0.330 eV/atom
1.0
7.3231 0.0000 0.0000
0.0000 7.3231 0.0000
0.0000 0.0000 2.7027
Cr Os Ag
4 4 2
direct
0.3634 0.8634 0.0000 Cr
0.8634 0.6366 0.0000 Cr
0.6366 0.1366 0.0000 Cr
0.1366 0.3634 0.0000 Cr
0.1527 0.6527 0.5000 Os
0.6527 0.8473 0.5000 Os
0.8473 0.3473 0.5000 Os
0.3473 0.1527 0.5000 Os
0.0000 0.0000 0.0000 Ag
0.5000 0.5000 0.0000 Ag

---

4.
HfZn2Au8 | Alexandria | PBE | relaxed; crystal system = monoclinic; polymorph energy (0 for the lowest one) = 0 meV per atom; energy of formation = -0.254 eV/atom
1.0
-0.1976 2.1586 -3.5037
4.7126 -3.9092 -2.6742
-6.3942 -4.1657 0.2165
Hf Zn Au
1 2 8
direct
0.5000 0.0000 0.0000 Hf
0.7769 0.3485 0.5538 Zn
0.2231 0.6515 0.4462 Zn
0.3956 0.5421 0.7913 Au
0.6793 0.9115 0.3585 Au
0.8582 0.8038 0.7163 Au
0.9573 0.2702 0.9147 Au
0.1418 0.1962 0.2837 Au
0.3207 0.0885 0.6415 Au
0.6044 0.4579 0.2087 Au
0.0427 0.7298 0.0853 Au

---

5.
LiLa14In | Alexandria | PBE | relaxed; crystal system = tetragonal; energy of formation = -0.032 eV/atom
1.0
7.2791 -0.0158 0.0000
0.0151 7.2790 0.0000
0.0000 0.0000 10.4686
Li La In
1 14 1
direct
0.3750 0.3750 0.5000 Li
0.8750 0.8750 0.0000 La
0.3750 0.3750 0.0000 La
0.8750 0.3750 0.5000 La
0.8750 0.3750 0.0000 La
0.3750 0.8750 0.5000 La
0.3750 0.8750 0.0000 La
0.6283 0.1217 0.2552 La
0.6283 0.1217 0.7448 La
0.1217 0.6283 0.2552 La
0.1217 0.6283 0.7448 La
0.6282 0.6282 0.2552 La
0.6282 0.6282 0.7448 La
0.1218 0.1218 0.2552 La
0.1218 0.1218 0.7448 La
0.8750 0.8750 0.5000 In

---

6.
Ca3Sm2InTe6 | Alexandria | PBE | relaxed; crystal system = monoclinic; formation energy (no corrections) = -1.35 eV per atom
1.0
4.4947 0.0000 0.0000
0.0000 9.1490 0.4673
-2.2474 -2.4955 9.4770
Ca Sm In Te
3 2 1 6
direct
0.5000 0.5000 0.0000 Ca
0.8386 0.1620 0.6772 Ca
0.1614 0.8380 0.3228 Ca
0.8333 0.6620 0.6665 Sm
0.1667 0.3380 0.3335 Sm
0.5000 0.0000 0.0000 In
0.3278 0.9053 0.6556 Te
0.6673 0.5874 0.3346 Te
0.6722 0.0947 0.3444 Te
0.0046 0.2633 0.0093 Te
0.9954 0.7367 0.9907 Te
0.3327 0.4126 0.6654 Te

---

7.
Mn4Fe2Tc3 | Alexandria | PBE | relaxed; crystal system = trigonal; energy of formation = 0.087 eV/atom
1.0
-2.4853 -3.3185 0.1861
1.0963 1.5670 -3.6855
6.1745 -4.6310 -0.1353
Mn Fe Tc
4 2 3
direct
0.6667 0.3334 0.1140 Mn
0.3333 0.6666 0.8860 Mn
0.9999 0.9998 0.6651 Mn
0.0001 0.0002 0.3349 Mn
0.6667 0.3333 0.4486 Fe
0.3333 0.6667 0.5514 Fe
0.6666 0.3332 0.7706 Tc
0.0000 0.0000 0.0000 Tc
0.3334 0.6668 0.2294 Tc

---

8.
Sm3Y4Al4 | Alexandria | PBE | relaxed; crystal system = orthorhombic; energy of formation = -0.201 eV/atom
1.0
5.1615 0.0000 0.0000
0.0000 6.9223 0.0000
-2.5808 -3.4612 8.5230
Sm Y Al
3 4 4
direct
0.1017 0.1017 0.2034 Sm
0.8983 0.8983 0.7966 Sm
0.0000 0.5000 0.0000 Sm
0.3211 0.0883 0.6422 Y
0.6789 0.4461 0.3578 Y
0.6789 0.9117 0.3578 Y
0.3211 0.5539 0.6422 Y
0.1774 0.6774 0.3548 Al
0.8226 0.3226 0.6452 Al
0.5000 0.8028 0.0000 Al
0.5000 0.1972 0.0000 Al

---

9.
KPuGaS4 | Alexandria | PBE | relaxed; crystal system = monoclinic; formation energy (no corrections) = -1.12 eV per atom
1.0
6.5094 0.0000 -0.0847
0.0000 6.5357 0.0000
-2.6651 0.0000 8.4547
K Pu Ga S
2 2 2 8
direct
0.7392 0.7500 0.9433 K
0.2608 0.2500 0.0567 K
0.7713 0.7500 0.4463 Pu
0.2287 0.2500 0.5537 Pu
0.2331 0.7500 0.3313 Ga
0.7669 0.2500 0.6687 Ga
0.0128 0.5105 0.7033 S
0.9872 0.0105 0.2967 S
0.9872 0.4895 0.2967 S
0.0128 0.9895 0.7033 S
0.4370 0.7500 0.1687 S
0.5630 0.2500 0.8313 S
0.4576 0.7500 0.5856 S
0.5424 0.2500 0.4144 S

---

10.
ZrTeS | Alexandria | PBE | relaxed; crystal system = tetragonal; polymorph energy (0 for the lowest one) = 268 meV per atom; formation energy (no corrections) = -0.93 eV per atom
1.0
3.5166 0.0000 0.0000
0.0000 3.5166 0.0000
-1.7583 -1.7583 5.2450
S Te Zr
1 1 1
direct
0.0381 0.0381 0.0762 S
0.3230 0.3230 0.6459 Te
0.6389 0.6389 0.2778 Zr

---

11.
ZrGaOs | Alexandria | PBE | relaxed; crystal system = orthorhombic; energy of formation = -0.347 eV/atom
1.0
3.2782 0.0000 0.0000
0.0000 4.5164 0.0000
0.0000 0.0000 13.8385
Zr Ga Os
4 4 4
direct
0.5000 0.0000 0.6609 Zr
0.5000 0.5000 0.1609 Zr
0.5000 0.0000 0.3308 Zr
0.5000 0.5000 0.8308 Zr
0.5000 0.0000 0.0126 Ga
0.5000 0.5000 0.5125 Ga
0.0000 0.0000 0.8512 Ga
0.0000 0.5000 0.3512 Ga
0.0000 0.0000 0.1627 Os
0.0000 0.5000 0.6627 Os
0.0000 0.0000 0.4928 Os
0.0000 0.5000 0.9928 Os

---

12.
PmTh2TlC | Alexandria | PBE | relaxed; crystal system = tetragonal; energy of formation = -0.275 eV/atom
1.0
-0.0821 -1.1689 -5.0243
2.7350 -4.1635 0.9239
-4.2640 -2.6488 0.6860
Pm Th Tl C
1 2 1 1
direct
0.5000 0.0000 0.0000 Pm
0.0000 0.0000 0.5000 Th
0.0000 0.5000 0.0000 Th
0.5000 0.5000 0.5000 Tl
0.0000 0.0000 0.0000 C

---

no.,total magnetization (μB/cell)
1,0.00
2,0.00
3,0.00
4,0.00
5,0.00
6,0.00
7,12.36
8,0.00
9,7.99
10,0.00
11,0.00
12,0.00